Compound: Li4Ti3Fe3W2O16
Source: the Alexandria database
Functional: PBE+U
Structure: relaxed

Cell lengths 5.992, 6.072, 9.875 Å; angles 88.21, 89.50, 60.97 degrees
Element x y z (fractional)
Li 0.000 0.000 0.000
Li 0.009 0.989 0.509
Li 0.317 0.347 0.428
Li 0.657 0.681 0.921
Ti 0.146 0.648 0.740
Ti 0.336 0.793 0.225
Ti 0.800 0.857 0.240
Fe 0.186 0.153 0.724
Fe 0.668 0.170 0.726
Fe 0.838 0.343 0.227
W 0.344 0.314 0.000
W 0.668 0.655 0.507
O 0.015 0.980 0.319
O 0.016 0.975 0.814
O 0.029 0.491 0.868
O 0.176 0.663 0.118
O 0.181 0.160 0.108
O 0.329 0.363 0.629
O 0.354 0.817 0.600
O 0.457 0.501 0.876
O 0.489 0.037 0.873
O 0.497 0.536 0.359
O 0.522 0.970 0.358
O 0.651 0.705 0.127
O 0.676 0.157 0.113
O 0.851 0.322 0.587
O 0.854 0.797 0.615
O 0.948 0.546 0.357

Summary:
VASP energy: -204.766 eV per formula unit
SG: P1